First-principles (PBE with a Hubbard U) data for crystalline NaNiBiO4 at its relaxed geometry, as listed in Alexandria.

As for the total energy: -142.08 eV per cell.

The structure belongs to space group Imma (No. 74); the cell edges are 6.3944, 6.6836 and 8.9935 Å and the angles 90.00°, 90.00° and 90.00°. The asymmetric unit holds Na at (0.0000, 0.2500, 0.1401), Ni at (0.2500, 0.2500, 0.7500), Bi at (0.0000, 0.0000, 0.5000), O at (0.0000, 0.0396, 0.7315) and O at (0.2247, 0.2500, 0.5107).